No. 1
# PBE PrBeO3, optimized geometry
# E = -31.02 eV per cell
# calculated volume = 15.12 Å³ per atom
# mass density = 4.35 g cm⁻³
data_PrBeO3
_chemical_formula_sum 'Pr1 Be1 O3'
_cell_length_a 3.704
_cell_length_b 3.704
_cell_length_c 5.509
_cell_angle_alpha 90.00
_cell_angle_beta 90.00
_cell_angle_gamma 90.00
_space_group_name_H-M_alt 'P 1'
_space_group_IT_number 1
loop_
_space_group_symop_operation_xyz
'x,y,z'
loop_
_atom_site_label
_atom_site_type_symbol
_atom_site_fract_x
_atom_site_fract_y
_atom_site_fract_z
Pr1 Pr 0.000 0.000 0.000
Be1 Be 0.500 0.500 0.298
O1 O 0.000 0.000 0.613
O2 O 0.000 0.500 0.234
O3 O 0.500 0.000 0.234



No. 2
# PBE Er2TmZn3AgIr2, optimized geometry
# energy of formation = -0.612 eV per atom
# E = -43.44 eV per cell
# calculated volume = 19.25 Å³ per atom
# mass density = 11.43 g cm⁻³
data_Er2TmZn3AgIr2
_chemical_formula_sum 'Er2 Tm1 Zn3 Ag1 Ir2'
_cell_length_a 3.780
_cell_length_b 7.272
_cell_length_c 7.272
_cell_angle_alpha 119.93
_cell_angle_beta 90.00
_cell_angle_gamma 90.00
_space_group_name_H-M_alt 'P 1'
_space_group_IT_number 1
loop_
_space_group_symop_operation_xyz
'x,y,z'
loop_
_atom_site_label
_atom_site_type_symbol
_atom_site_fract_x
_atom_site_fract_y
_atom_site_fract_z
Er1 Er 0.000 0.207 0.793
Er2 Er 0.000 0.793 0.207
Tm1 Tm 0.000 0.621 0.621
Zn1 Zn 0.500 0.207 0.473
Zn2 Zn 0.500 0.473 0.207
Zn3 Zn 0.500 0.942 0.942
Ag1 Ag 0.000 0.208 0.208
Ir1 Ir 0.500 0.541 0.873
Ir2 Ir 0.500 0.873 0.541



No. 3
# PBE Rb3FeS3, optimized geometry
# E = -119.72 eV per cell
# calculated volume = 30.76 Å³ per atom
# mass density = 3.15 g cm⁻³
# E above lowest polymorph = 0 meV per atom
data_Rb3FeS3
_chemical_formula_sum 'Rb12 Fe4 S12'
_cell_length_a 10.041
_cell_length_b 10.041
_cell_length_c 12.999
_cell_angle_alpha 90.00
_cell_angle_beta 90.00
_cell_angle_gamma 41.08
_space_group_name_H-M_alt 'P 1'
_space_group_IT_number 1
loop_
_space_group_symop_operation_xyz
'x,y,z'
loop_
_atom_site_label
_atom_site_type_symbol
_atom_site_fract_x
_atom_site_fract_y
_atom_site_fract_z
Rb1 Rb 0.019 0.335 0.874
Rb2 Rb 0.133 0.867 0.820
Rb3 Rb 0.165 0.481 0.626
Rb4 Rb 0.335 0.019 0.126
Rb5 Rb 0.367 0.633 0.320
Rb6 Rb 0.481 0.165 0.374
Rb7 Rb 0.519 0.835 0.626
Rb8 Rb 0.633 0.367 0.680
Rb9 Rb 0.665 0.981 0.874
Rb10 Rb 0.835 0.519 0.374
Rb11 Rb 0.867 0.133 0.180
Rb12 Rb 0.981 0.665 0.126
Fe1 Fe 0.077 0.077 0.500
Fe2 Fe 0.423 0.423 0.000
Fe3 Fe 0.577 0.577 0.000
Fe4 Fe 0.923 0.923 0.500
S1 S 0.000 0.290 0.618
S2 S 0.000 0.710 0.382
S3 S 0.210 0.500 0.882
S4 S 0.215 0.785 0.569
S5 S 0.285 0.715 0.069
S6 S 0.290 0.000 0.382
S7 S 0.500 0.210 0.118
S8 S 0.500 0.790 0.882
S9 S 0.710 0.000 0.618
S10 S 0.715 0.285 0.931
S11 S 0.785 0.215 0.431
S12 S 0.790 0.500 0.118



No. 4
# PBE LuNb2Ge, optimized geometry
# E = -29.63 eV per cell
# calculated volume = 19.11 Å³ per atom
# mass density = 9.42 g cm⁻³
data_LuNb2Ge
_chemical_formula_sum 'Lu1 Nb2 Ge1'
_cell_length_a 4.763
_cell_length_b 4.763
_cell_length_c 4.763
_cell_angle_alpha 60.00
_cell_angle_beta 60.00
_cell_angle_gamma 60.00
_space_group_name_H-M_alt 'P 1'
_space_group_IT_number 1
loop_
_space_group_symop_operation_xyz
'x,y,z'
loop_
_atom_site_label
_atom_site_type_symbol
_atom_site_fract_x
_atom_site_fract_y
_atom_site_fract_z
Lu1 Lu 0.000 0.000 0.000
Nb1 Nb 0.250 0.250 0.250
Nb2 Nb 0.500 0.500 0.500
Ge1 Ge 0.750 0.750 0.750



No. 5
# PBE GdMgZn, optimized geometry
# E = -31.87 eV per cell
# calculated volume = 23.00 Å³ per atom
# mass density = 5.94 g cm⁻³
data_GdMgZn
_chemical_formula_sum 'Gd4 Mg4 Zn4'
_cell_length_a 6.032
_cell_length_b 6.265
_cell_length_c 8.295
_cell_angle_alpha 90.66
_cell_angle_beta 95.73
_cell_angle_gamma 117.53
_space_group_name_H-M_alt 'P 1'
_space_group_IT_number 1
loop_
_space_group_symop_operation_xyz
'x,y,z'
loop_
_atom_site_label
_atom_site_type_symbol
_atom_site_fract_x
_atom_site_fract_y
_atom_site_fract_z
Gd1 Gd 0.000 0.000 0.000
Gd2 Gd 0.059 0.486 0.738
Gd3 Gd 0.450 0.598 0.142
Gd4 Gd 0.602 0.865 0.569
Mg1 Mg 0.007 0.253 0.362
Mg2 Mg 0.044 0.764 0.362
Mg3 Mg 0.511 0.055 0.893
Mg4 Mg 0.540 0.345 0.489
Zn1 Zn 0.149 0.034 0.658
Zn2 Zn 0.497 0.091 0.218
Zn3 Zn 0.568 0.499 0.820
Zn4 Zn 0.885 0.457 0.075



No. 6
# PBE LiTbB4, optimized geometry
# E = -34.66 eV per cell
# calculated volume = 10.95 Å³ per atom
# mass density = 5.28 g cm⁻³
# E above lowest polymorph = 0 meV per atom
data_LiTbB4
_chemical_formula_sum 'Li1 Tb1 B4'
_cell_length_a 4.980
_cell_length_b 4.980
_cell_length_c 4.980
_cell_angle_alpha 143.20
_cell_angle_beta 114.63
_cell_angle_gamma 77.44
_space_group_name_H-M_alt 'P 1'
_space_group_IT_number 1
loop_
_space_group_symop_operation_xyz
'x,y,z'
loop_
_atom_site_label
_atom_site_type_symbol
_atom_site_fract_x
_atom_site_fract_y
_atom_site_fract_z
Li1 Li 0.000 0.000 0.000
Tb1 Tb 0.500 0.500 0.000
B1 B 0.080 0.755 0.324
B2 B 0.431 0.755 0.676
B3 B 0.569 0.245 0.324
B4 B 0.920 0.245 0.676



No. 7
# PBE Na2Tb, optimized geometry
# E = -25.05 eV per cell
# calculated volume = 29.96 Å³ per atom
# mass density = 3.79 g cm⁻³
# E above lowest polymorph = 0 meV per atom
data_Na2Tb
_chemical_formula_sum 'Na8 Tb4'
_cell_length_a 6.399
_cell_length_b 6.399
_cell_length_c 10.139
_cell_angle_alpha 90.00
_cell_angle_beta 90.00
_cell_angle_gamma 120.00
_space_group_name_H-M_alt 'P 1'
_space_group_IT_number 1
loop_
_space_group_symop_operation_xyz
'x,y,z'
loop_
_atom_site_label
_atom_site_type_symbol
_atom_site_fract_x
_atom_site_fract_y
_atom_site_fract_z
Na1 Na 0.000 0.000 0.000
Na2 Na 0.000 0.000 0.500
Na3 Na 0.171 0.343 0.250
Na4 Na 0.171 0.829 0.250
Na5 Na 0.343 0.171 0.750
Na6 Na 0.657 0.829 0.250
Na7 Na 0.829 0.171 0.750
Na8 Na 0.829 0.657 0.750
Tb1 Tb 0.333 0.667 0.562
Tb2 Tb 0.333 0.667 0.938
Tb3 Tb 0.667 0.333 0.062
Tb4 Tb 0.667 0.333 0.438



No. 8
# PBE HoTmH2O4, optimized geometry
# E = -57.06 eV per cell
# calculated volume = 10.51 Å³ per atom
# mass density = 7.90 g cm⁻³
data_HoTmH2O4
_chemical_formula_sum 'Ho1 Tm1 H2 O4'
_cell_length_a 4.265
_cell_length_b 3.563
_cell_length_c 5.873
_cell_angle_alpha 90.00
_cell_angle_beta 109.65
_cell_angle_gamma 90.00
_space_group_name_H-M_alt 'P 1'
_space_group_IT_number 1
loop_
_space_group_symop_operation_xyz
'x,y,z'
loop_
_atom_site_label
_atom_site_type_symbol
_atom_site_fract_x
_atom_site_fract_y
_atom_site_fract_z
Ho1 Ho 0.000 0.000 0.000
Tm1 Tm 0.328 0.500 0.620
H1 H 0.655 0.000 0.406
H2 H 0.673 0.500 0.216
O1 O 0.417 0.000 0.378
O2 O 0.431 0.000 0.861
O3 O 0.894 0.500 0.751
O4 O 0.913 0.500 0.248



No. 9
# PBE PaHgBi, optimized geometry
# E = -12.77 eV per cell
# calculated volume = 30.97 Å³ per atom
# mass density = 11.45 g cm⁻³
# E above lowest polymorph = 164 meV per atom
data_PaHgBi
_chemical_formula_sum 'Pa1 Hg1 Bi1'
_cell_length_a 5.084
_cell_length_b 5.084
_cell_length_c 5.084
_cell_angle_alpha 60.00
_cell_angle_beta 60.00
_cell_angle_gamma 60.00
_space_group_name_H-M_alt 'P 1'
_space_group_IT_number 1
loop_
_space_group_symop_operation_xyz
'x,y,z'
loop_
_atom_site_label
_atom_site_type_symbol
_atom_site_fract_x
_atom_site_fract_y
_atom_site_fract_z
Pa1 Pa 0.000 0.000 0.000
Hg1 Hg 0.750 0.750 0.750
Bi1 Bi 0.500 0.500 0.500



No. 10
# PBE PmY, optimized geometry
# energy of formation = 0.026 eV per atom
# E = -11.16 eV per cell
# calculated volume = 33.44 Å³ per atom
# mass density = 5.81 g cm⁻³
# E above lowest polymorph = 0 meV per atom
data_PmY
_chemical_formula_sum 'Pm1 Y1'
_cell_length_a 3.636
_cell_length_b 3.636
_cell_length_c 5.842
_cell_angle_alpha 90.00
_cell_angle_beta 90.00
_cell_angle_gamma 120.00
_space_group_name_H-M_alt 'P 1'
_space_group_IT_number 1
loop_
_space_group_symop_operation_xyz
'x,y,z'
loop_
_atom_site_label
_atom_site_type_symbol
_atom_site_fract_x
_atom_site_fract_y
_atom_site_fract_z
Pm1 Pm 0.000 0.000 0.000
Y1 Y 0.667 0.333 0.500



no.,magnetization (μB per cell)
1,1.0
2,0.0
3,16.0
4,0.0
5,0.0
6,0.0
7,0.0
8,0.0
9,1.6
10,0.0